# 1
# PrNd3Sn2, relaxed, DFT GGA-PBE
data_PrNd3Sn2
_chemical_formula_sum 'Pr4 Nd12 Sn8'
_space_group_name_H-M_alt 'C 1 2/m 1'
_space_group_IT_number 12
_cell_length_a 18.573
_cell_length_b 4.705
_cell_length_c 9.891
_cell_angle_alpha 90.00
_cell_angle_beta 115.20
_cell_angle_gamma 90.00
loop_
_space_group_symop_operation_xyz
'x,y,z'
'-x,-y,-z'
'-x,y,-z'
'x,-y,z'
'x+1/2,y+1/2,z'
'-x+1/2,-y+1/2,-z'
'-x+1/2,y+1/2,-z'
'x+1/2,-y+1/2,z'
loop_
_atom_site_label
_atom_site_type_symbol
_atom_site_fract_x
_atom_site_fract_y
_atom_site_fract_z
Pr1 Pr 0.115 0.000 0.128
Nd1 Nd 0.053 0.000 0.689
Nd2 Nd 0.148 0.500 0.479
Nd3 Nd 0.192 0.500 0.889
Sn1 Sn 0.007 0.500 0.856
Sn2 Sn 0.243 0.000 0.716
# - E_form: -51.0 kJ per mole of atoms
# - E above lowest polymorph: 0.252 eV per formula unit

# 2
# CuSb2RhI, relaxed, DFT GGA-PBE
data_CuSb2RhI
_chemical_formula_sum 'Cu1 Sb2 Rh1 I1'
_space_group_name_H-M_alt 'P 4/m m m'
_space_group_IT_number 123
_space_group_name_Hall '-P 4 2'
_cell_length_a 4.951
_cell_length_b 4.951
_cell_length_c 5.301
_cell_angle_alpha 90.00
_cell_angle_beta 90.00
_cell_angle_gamma 90.00
loop_
_atom_site_label
_atom_site_type_symbol
_atom_site_fract_x
_atom_site_fract_y
_atom_site_fract_z
Cu1 Cu 0.000 0.000 0.000
Sb1 Sb 0.000 0.500 0.000
Rh1 Rh 0.500 0.500 0.500
I1 I 0.000 0.000 0.500
# - Formation energy (no corrections): 886 meV/atom
# - E above lowest polymorph: 1.491 eV per formula unit

# 3
# Tb3PmSn, relaxed, DFT GGA-PBE
data_Tb3PmSn
_chemical_formula_sum 'Tb12 Pm4 Sn4'
_space_group_name_H-M_alt 'I m a 2'
_space_group_IT_number 46
_cell_length_a 11.382
_cell_length_b 8.464
_cell_length_c 6.861
_cell_angle_alpha 90.00
_cell_angle_beta 90.00
_cell_angle_gamma 90.00
loop_
_space_group_symop_operation_xyz
'x,y,z'
'-x,-y,z'
'-x+1/2,y,z'
'x+1/2,-y,z'
'x+1/2,y+1/2,z+1/2'
'-x+1/2,-y+1/2,z+1/2'
'-x,y+1/2,z+1/2'
'x,-y+1/2,z+1/2'
loop_
_atom_site_label
_atom_site_type_symbol
_atom_site_fract_x
_atom_site_fract_y
_atom_site_fract_z
Tb1 Tb 0.034 0.231 0.000
Tb2 Tb 0.250 0.068 0.243
Pm1 Pm 0.250 0.749 0.471
Sn1 Sn 0.250 0.071 0.732
# - E_form: 10.1 kJ per mole of atoms

# 4
# Mg6GaPt, relaxed, DFT GGA-PBE
data_Mg6GaPt
_chemical_formula_sum 'Mg12 Ga2 Pt2'
_space_group_name_H-M_alt 'C 1 2/m 1'
_space_group_IT_number 12
_cell_length_a 6.160
_cell_length_b 10.678
_cell_length_c 6.128
_cell_angle_alpha 90.00
_cell_angle_beta 116.97
_cell_angle_gamma 90.00
loop_
_space_group_symop_operation_xyz
'x,y,z'
'-x,-y,-z'
'-x,y,-z'
'x,-y,z'
'x+1/2,y+1/2,z'
'-x+1/2,-y+1/2,-z'
'-x+1/2,y+1/2,-z'
'x+1/2,-y+1/2,z'
loop_
_atom_site_label
_atom_site_type_symbol
_atom_site_fract_x
_atom_site_fract_y
_atom_site_fract_z
Mg1 Mg 0.236 0.201 0.248
Mg2 Mg 0.244 0.000 0.757
Ga1 Ga 0.000 0.500 0.500
Pt1 Pt 0.000 0.000 0.000
# - E_form: -12.1 kJ per mole of atoms

# 5
# Li2PtSe, relaxed, DFT GGA-PBE
data_Li2PtSe
_chemical_formula_sum 'Li2 Pt1 Se1'
_space_group_name_H-M_alt 'P 4/m m m'
_space_group_IT_number 123
_space_group_name_Hall '-P 4 2'
_cell_length_a 3.882
_cell_length_b 3.882
_cell_length_c 3.865
_cell_angle_alpha 90.00
_cell_angle_beta 90.00
_cell_angle_gamma 90.00
loop_
_atom_site_label
_atom_site_type_symbol
_atom_site_fract_x
_atom_site_fract_y
_atom_site_fract_z
Li1 Li 0.000 0.500 0.000
Pt1 Pt 0.000 0.000 0.500
Se1 Se 0.500 0.500 0.500
# - Formation energy (no corrections): -676 meV/atom

# 6
Computed, not measured: crystalline TaSnHPd2 at its relaxed geometry at the GGA-PBE level of DFT.

Structure (CIF):
```
data_TaSnHPd2
_chemical_formula_sum 'Ta1 Sn1 H1 Pd2'
_space_group_name_H-M_alt 'P 4/m m m'
_space_group_IT_number 123
_space_group_name_Hall '-P 4 2'
_cell_length_a 4.047
_cell_length_b 4.047
_cell_length_c 4.387
_cell_angle_alpha 90.00
_cell_angle_beta 90.00
_cell_angle_gamma 90.00
loop_
_atom_site_label
_atom_site_type_symbol
_atom_site_fract_x
_atom_site_fract_y
_atom_site_fract_z
Ta1 Ta 0.000 0.000 0.000
Sn1 Sn 0.500 0.500 0.000
H1 H 0.000 0.000 0.500
Pd1 Pd 0.000 0.500 0.500
```

# 7
# Sm3DyTm7, relaxed, DFT GGA-PBE
data_Sm3DyTm7
_chemical_formula_sum 'Sm6 Dy2 Tm14'
_space_group_name_H-M_alt 'C 1 2/m 1'
_space_group_IT_number 12
_cell_length_a 12.481
_cell_length_b 11.097
_cell_length_c 5.767
_cell_angle_alpha 90.00
_cell_angle_beta 117.39
_cell_angle_gamma 90.00
loop_
_space_group_symop_operation_xyz
'x,y,z'
'-x,-y,-z'
'-x,y,-z'
'x,-y,z'
'x+1/2,y+1/2,z'
'-x+1/2,-y+1/2,-z'
'-x+1/2,y+1/2,-z'
'x+1/2,-y+1/2,z'
loop_
_atom_site_label
_atom_site_type_symbol
_atom_site_fract_x
_atom_site_fract_y
_atom_site_fract_z
Sm1 Sm 0.000 0.000 0.000
Sm2 Sm 0.000 0.212 0.500
Dy1 Dy 0.000 0.500 0.000
Tm1 Tm 0.000 0.500 0.500
Tm2 Tm 0.206 0.000 0.706
Tm3 Tm 0.208 0.195 0.208
# - E_form: 27.4 kJ per mole of atoms
# - E above lowest polymorph: 1.095 eV per formula unit

# 8
# Pm5Si2Sb2, relaxed, DFT GGA-PBE
data_Pm5Si2Sb2
_chemical_formula_sum 'Pm20 Si8 Sb8'
_space_group_name_H-M_alt 'I m a 2'
_space_group_IT_number 46
_cell_length_a 17.311
_cell_length_b 9.310
_cell_length_c 6.398
_cell_angle_alpha 90.00
_cell_angle_beta 90.00
_cell_angle_gamma 90.00
loop_
_space_group_symop_operation_xyz
'x,y,z'
'-x,-y,z'
'-x+1/2,y,z'
'x+1/2,-y,z'
'x+1/2,y+1/2,z+1/2'
'-x+1/2,-y+1/2,z+1/2'
'-x,y+1/2,z+1/2'
'x,-y+1/2,z+1/2'
loop_
_atom_site_label
_atom_site_type_symbol
_atom_site_fract_x
_atom_site_fract_y
_atom_site_fract_z
Pm1 Pm 0.062 0.248 0.000
Pm2 Pm 0.147 0.619 0.749
Pm3 Pm 0.250 0.064 0.748
Si1 Si 0.000 0.000 0.253
Si2 Si 0.250 0.127 0.246
Sb1 Sb 0.087 0.570 0.247
# - Formation energy (no corrections): -684 meV/atom
# - E above lowest polymorph: 2.047 eV per formula unit

| no. | DOS at the Fermi energy (states/eV per cell) | electronic total energy (eV for the cell shown) |
| --- | --- | --- |
| 1 | 27.31 | -121.03 |
| 2 | 4.21 | -16.81 |
| 3 | 26.28 | -88.49 |
| 4 | 4.10 | -39.28 |
| 5 | 0.69 | -16.06 |
| 6 | 1.86 | -30.38 |
| 7 | 29.80 | -93.87 |
| 8 | 21.04 | -196.00 |